Here is crystalline SrLuCdPd at its relaxed geometry from the Alexandria database. Energies are from PBE.

a b c (Å): 7.403 7.403 7.403
angles (deg): 90.00 90.00 90.00
Space group F-43m (No. 216)
One atom of each set of equivalent atoms:
Sr (0.000, 0.000, 0.000) [4 per cell]
Lu (0.000, 0.000, 0.500) [4 per cell]
Cd (0.250, 0.250, 0.250) [4 per cell]
Pd (0.250, 0.250, 0.750) [4 per cell]

Properties
Total magnetization ... 0.00 μB/f.u.
Energy relative to the elements ... -36.57 kJ per mole of atoms
Uncorrected energy ... -3.457 eV/atom

Here is crystalline MnRe2MoH at its relaxed geometry from the Alexandria database. Energies are from PBE.

a b c (Å): 3.974 3.974 3.789
angles (deg): 90.00 90.00 90.00
Space group P4/mmm (No. 123)
One atom of each set of equivalent atoms:
Mn (0.000, 0.000, 0.000) [1 per cell]
Re (0.000, 0.500, 0.500) [2 per cell]
Mo (0.500, 0.500, 0.000) [1 per cell]
H (0.000, 0.000, 0.500) [1 per cell]

Properties
Total magnetization ... 1.74 μB/f.u.
Uncorrected energy ... -9.519 eV/atom

Here is crystalline ErLuFeAu at its relaxed geometry from the Alexandria database. Energies are from PBE.

a b c (Å): 6.887 6.887 6.887
angles (deg): 90.00 90.00 90.00
Space group F-43m (No. 216)
One atom of each set of equivalent atoms:
Er (0.000, 0.000, 0.000) [4 per cell]
Lu (0.000, 0.000, 0.500) [4 per cell]
Fe (0.250, 0.250, 0.250) [4 per cell]
Au (0.250, 0.250, 0.750) [4 per cell]

Properties
Total magnetization ... 1.18 μB/f.u.
Energy relative to the elements ... -32.23 kJ per mole of atoms
Uncorrected energy ... -5.540 eV/atom

Here is crystalline GdDyOsRh at its relaxed geometry from the Alexandria database. Energies are from PBE.

a b c (Å): 6.863 6.863 6.863
angles (deg): 90.00 90.00 90.00
Space group F-43m (No. 216)
One atom of each set of equivalent atoms:
Gd (0.000, 0.000, 0.000) [4 per cell]
Dy (0.000, 0.000, 0.500) [4 per cell]
Os (0.250, 0.250, 0.750) [4 per cell]
Rh (0.250, 0.250, 0.250) [4 per cell]

Properties
Total magnetization ... 7.05 μB/f.u.
Energy relative to the elements ... -41.43 kJ per mole of atoms
Uncorrected energy ... -9.745 eV/atom

Here is crystalline InPd5Pt5 at its relaxed geometry from the Alexandria database. Energies are from PBE.

a b c (Å): 11.703 4.903 7.266
angles (deg): 90.00 113.75 90.00
Space group C2/m (No. 12)
One atom of each set of equivalent atoms:
In (0.000, 0.000, 0.000) [2 per cell]
Pd (0.000, 0.500, 0.000) [2 per cell]
Pd (0.175, 0.500, 0.842) [4 per cell]
Pd (0.177, 0.000, 0.356) [4 per cell]
Pt (0.000, 0.000, 0.500) [2 per cell]
Pt (0.076, 0.500, 0.409) [4 per cell]
Pt (0.248, 0.000, 0.759) [4 per cell]

Properties
Total magnetization ... 0.00 μB/f.u.
Energy relative to the elements ... 8.93 kJ per mole of atoms
Uncorrected energy ... -5.263 eV/atom

Here is crystalline HgGeTe3 at its relaxed geometry from the Alexandria database. Energies are from PBE.

a b c (Å): 5.463 5.463 5.463
angles (deg): 90.00 90.00 90.00
Space group Pm-3m (No. 221)
One atom of each set of equivalent atoms:
Hg (0.000, 0.000, 0.000) [1 per cell]
Ge (0.500, 0.500, 0.500) [1 per cell]
Te (0.000, 0.500, 0.500) [3 per cell]

Properties
Total magnetization ... 0.00 μB/f.u.
Uncorrected energy ... -2.484 eV/atom
Formation energy without anion corrections ... 0.385 eV/atom

- Which value of total magnetization does entry 4 give?
  7.05 μB/f.u.

- Which of these has the lowest uncorrected energy?
  GdDyOsRh

Please write out number 5 again, unchanged.
Here is crystalline InPd5Pt5 at its relaxed geometry from the Alexandria database. Energies are from PBE.

a b c (Å): 11.703 4.903 7.266
angles (deg): 90.00 113.75 90.00
Space group C2/m (No. 12)
One atom of each set of equivalent atoms:
In (0.000, 0.000, 0.000) [2 per cell]
Pd (0.000, 0.500, 0.000) [2 per cell]
Pd (0.175, 0.500, 0.842) [4 per cell]
Pd (0.177, 0.000, 0.356) [4 per cell]
Pt (0.000, 0.000, 0.500) [2 per cell]
Pt (0.076, 0.500, 0.409) [4 per cell]
Pt (0.248, 0.000, 0.759) [4 per cell]

Properties
Total magnetization ... 0.00 μB/f.u.
Energy relative to the elements ... 8.93 kJ per mole of atoms
Uncorrected energy ... -5.263 eV/atom

What did the second record say?
Here is crystalline MnRe2MoH at its relaxed geometry from the Alexandria database. Energies are from PBE.

a b c (Å): 3.974 3.974 3.789
angles (deg): 90.00 90.00 90.00
Space group P4/mmm (No. 123)
One atom of each set of equivalent atoms:
Mn (0.000, 0.000, 0.000) [1 per cell]
Re (0.000, 0.500, 0.500) [2 per cell]
Mo (0.500, 0.500, 0.000) [1 per cell]
H (0.000, 0.000, 0.500) [1 per cell]

Properties
Total magnetization ... 1.74 μB/f.u.
Uncorrected energy ... -9.519 eV/atom